The following is a DFT calculation (GGA-PBEsol) of crystalline Li2Al3 at its relaxed geometry.

abc: 11.523 11.523 11.523
angles: 14.31 14.31 14.31
Fractional positions:
Li 0.099 0.099 0.099
Li 0.901 0.901 0.901
Al 0.300 0.300 0.300
Al 0.500 0.500 0.500
Al 0.700 0.700 0.700

Electronic total energy: -0.1211 Ha/atom
Spin magnetization: 0.00 μB per cell
Formation energy from the elements: -5.29 kJ/mol of atoms
SG: R-3m (166)

=====

The following is a DFT calculation (GGA-PBEsol) of crystalline Li9Al4 at its relaxed geometry.

abc: 9.531 9.531 5.341
angles: 104.94 104.94 26.89
Fractional positions:
Li 0.000 0.000 0.000
Li 0.084 0.084 0.638
Li 0.233 0.233 0.842
Li 0.308 0.308 0.472
Li 0.456 0.456 0.675
Li 0.544 0.544 0.325
Li 0.692 0.692 0.528
Li 0.767 0.767 0.158
Li 0.916 0.916 0.362
Al 0.151 0.151 0.219
Al 0.386 0.386 0.067
Al 0.614 0.614 0.933
Al 0.849 0.849 0.781

Electronic total energy: -0.1017 Ha/atom
Spin magnetization: 0.00 μB per cell
Formation energy from the elements: -14.11 kJ/mol of atoms
SG: C2/m (12)

=====

The following is a DFT calculation (GGA-PBEsol) of crystalline Li5Al4 at its relaxed geometry.

abc: 6.450 6.450 6.450
angles: 95.36 95.36 144.41
Fractional positions:
Li 0.000 0.000 0.000
Li 0.327 0.327 0.654
Li 0.327 0.673 0.000
Li 0.673 0.327 0.000
Li 0.673 0.673 0.346
Al 0.000 0.339 0.339
Al 0.000 0.661 0.661
Al 0.339 0.000 0.339
Al 0.661 0.000 0.661

Electronic total energy: -0.1110 Ha/atom
Spin magnetization: 0.00 μB per cell
Formation energy from the elements: -10.48 kJ/mol of atoms
SG: I4/mmm (139)

=====

The following is a DFT calculation (GGA-PBEsol) of crystalline Li3Al4 at its relaxed geometry.

abc: 10.381 10.381 10.381
angles: 161.46 161.46 26.34
Fractional positions:
Li 0.000 0.000 0.000
Li 0.287 0.287 0.000
Li 0.713 0.713 0.000
Al 0.140 0.140 0.000
Al 0.431 0.431 0.000
Al 0.569 0.569 0.000
Al 0.860 0.860 0.000

Electronic total energy: -0.1193 Ha/atom
Spin magnetization: 0.00 μB per cell
Formation energy from the elements: -6.39 kJ/mol of atoms
SG: I4/mmm (139)